# 1
First-principles (SCAN) data for a crystal of TeRu2W relaxed with PBEsol, as listed in Alexandria.

```
TeRu2W
1.0
-1.6080 -2.5005 -0.2185
2.2797 -1.7178 2.8820
-3.3260 1.8144 3.7124
Ru Te W
2 1 1
Direct
0.0000 0.0000 0.9643
0.5000 0.5000 0.2784
0.0000 0.0000 0.4650
0.5000 0.5000 0.7924
```

Properties
ρ, g/cm3: 13.297
Energy, eV for the cell shown: -174.8
Size of the total moment, μB/f.u.: 0.000
Space group: Pmm2
Energy relative to the elements, uncorrected, eV per formula unit: 1.8

# 2
First-principles (SCAN) data for a crystal of Cs3AgF relaxed with PBEsol, as listed in Alexandria.

```
Cs3AgF
1.0
-5.6617 1.0203 -0.9889
-0.8627 -5.6965 -0.9379
-1.1290 -0.7635 5.6759
Cs F Ag
3 1 1
Direct
0.0000 0.0000 0.5000
0.5000 0.0000 0.0000
0.0000 0.5000 0.0000
0.0000 0.0000 0.0000
0.5000 0.5000 0.5000
```

Properties
ρ, g/cm3: 4.388
Energy, eV for the cell shown: -153.7
Size of the total moment, μB/f.u.: 0.003
Space group: Pm-3m
Energy relative to the elements, uncorrected, eV per formula unit: -5.4

# 3
First-principles (SCAN) data for a crystal of TlCuBr2 relaxed with PBEsol, as listed in Alexandria.

```
TlCuBr2
1.0
-4.2017 -2.5565 -1.4489
0.2342 -3.3125 -3.9066
-0.3686 -5.0370 0.8842
Tl Br Cu
1 2 1
Direct
0.0000 0.0000 0.0000
0.2500 0.2500 0.2500
0.7500 0.7500 0.7500
0.5000 0.5000 0.5000
```

Properties
ρ, g/cm3: 7.452
Energy, eV for the cell shown: -127.1
Size of the total moment, μB/f.u.: 0.000
Energy above the lowest structure with this stoichiometry, meV per atom: 421
Space group: Fm-3m
Energy relative to the elements, uncorrected, eV per formula unit: -0.6

# 4
First-principles (SCAN) data for a crystal of InTc relaxed with PBEsol, as listed in Alexandria.

```
InTc
1.0
-2.5719 1.4871 0.0646
-1.3127 -2.2052 -1.4980
-1.9400 -3.6630 7.0923
In Tc
2 2
Direct
0.0000 0.5000 0.1670
0.5000 0.0000 0.8330
0.0000 0.5000 0.5856
0.5000 0.0000 0.4144
```

Properties
ρ, g/cm3: 9.744
Energy, eV for the cell shown: -136.6
Size of the total moment, μB/f.u.: 0.000
Space group: P4/nmm
Energy of formation from the pure elements, eV per atom: 0.085

# 5
First-principles (SCAN) data for a crystal of Mg2InSb relaxed with PBEsol, as listed in Alexandria.

```
Mg2InSb
1.0
4.1151 0.0000 0.0000
0.0000 4.6382 0.0000
0.0000 0.0000 4.8937
Mg In Sb
2 1 1
Direct
0.0000 0.5000 0.5000
0.0000 0.0000 0.0000
0.5000 0.0000 0.5000
0.5000 0.5000 0.0000
```

Properties
ρ, g/cm3: 5.070
Energy, eV for the cell shown: -81.3
Size of the total moment, μB/f.u.: 0.000
Energy above the lowest structure with this stoichiometry, meV per atom: 0
Space group: Pmmm
Energy relative to the elements, uncorrected, eV per formula unit: -0.7

# 6
First-principles (SCAN) data for a crystal of ScTa2Pb relaxed with PBEsol, as listed in Alexandria.

```
ScTa2Pb
1.0
3.0509 0.0000 0.0000
0.0000 5.1386 -0.0020
-1.5255 -0.7868 5.0778
Pb Ta Sc
1 2 1
Direct
0.5000 0.0000 0.0000
0.7545 0.7414 0.5091
0.2455 0.2586 0.4909
0.0000 0.5000 0.0000
```

Properties
ρ, g/cm3: 12.809
Energy, eV for the cell shown: -222.4
Size of the total moment, μB/f.u.: 0.000
Space group: C2/m
Energy of formation from the pure elements, eV per atom: 0.197

# 7
First-principles (SCAN) data for a crystal of MoWO6 relaxed with PBEsol, as listed in Alexandria.

```
MoWO6
1.0
5.2720 0.0000 0.0007
0.0000 5.3692 0.0000
-0.0026 0.0000 7.4556
O W Mo
12 2 2
Direct
0.7516 0.2502 0.5346
0.0685 0.5002 0.7490
0.9315 0.4998 0.2510
0.2516 0.2498 0.0346
0.7484 0.7502 0.9654
0.7502 0.7485 0.5346
0.2484 0.7498 0.4654
0.7498 0.2485 0.9654
0.4315 0.0002 0.7510
0.2498 0.2515 0.4654
0.2502 0.7515 0.0346
0.5685 0.9998 0.2490
0.5000 0.0000 0.5000
0.0000 0.5000 0.0000
0.0000 0.5000 0.5000
0.5000 0.0000 0.0000
```

Properties
ρ, g/cm3: 5.913
Energy, eV for the cell shown: -317.0
Size of the total moment, μB/f.u.: 0.000
Energy above the lowest structure with this stoichiometry, meV per atom: 59
Space group: C2/m
Energy relative to the elements, uncorrected, eV per formula unit: -16.6

# 8
First-principles (SCAN) data for a crystal of CrRu2W relaxed with PBEsol, as listed in Alexandria.

```
CrRu2W
1.0
-0.3318 -0.1064 -2.6183
-1.1630 -4.6724 1.3280
-3.2566 3.5719 1.2584
Ru Cr W
2 1 1
Direct
0.0000 0.0000 0.5000
0.0000 0.5000 0.0000
0.5000 0.5000 0.5000
0.5000 0.0000 0.0000
```

Properties
ρ, g/cm3: 13.333
Energy, eV for the cell shown: -156.7
Size of the total moment, μB/f.u.: 2.173
Energy above the lowest structure with this stoichiometry, meV per atom: 238
Space group: C2/m
Energy of formation from the pure elements, eV per atom: 0.266

# 9
First-principles (SCAN) data for a crystal of Li7FeO5F relaxed with PBEsol, as listed in Alexandria.

```
Li7FeO5F
1.0
5.3910 0.0046 0.0482
2.5766 4.7514 0.0404
0.5513 0.3503 10.6906
Li O Fe F
14 10 2 2
Direct
0.3292 0.3567 0.5733
0.9870 0.3043 0.7407
0.3565 0.3240 0.0895
0.5934 0.4007 0.8720
0.6186 0.9950 0.3762
0.2969 0.7516 0.7253
0.6431 0.0074 0.7359
0.6970 0.6524 0.5886
0.9526 0.6439 0.8712
0.2811 0.0268 0.2431
0.6533 0.6917 0.0749
0.3805 0.5879 0.3664
0.0280 0.6306 0.2369
0.7298 0.2732 0.2237
0.3372 0.7071 0.5362
0.9422 0.0090 0.8311
0.0277 0.6721 0.0440
0.2876 0.0060 0.0702
0.0061 0.9414 0.3314
0.6658 0.6551 0.7724
0.0225 0.2810 0.5690
0.7131 0.3262 0.0408
0.6797 0.0324 0.5481
0.3754 0.3063 0.2744
0.0130 0.0019 0.9955
0.0107 0.0095 0.4955
0.6548 0.6674 0.2725
0.3034 0.3793 0.7746
```

Properties
ρ, g/cm3: 2.470
Energy, eV for the cell shown: -197.7
Size of the total moment, μB/f.u.: 4.000
Space group: P1
Energy relative to the elements, uncorrected, eV per formula unit: -29.3

# 10
First-principles (SCAN) data for a crystal of Li3V4CrO8 relaxed with PBEsol, as listed in Alexandria.

```
Li3V4CrO8
1.0
5.8358 -0.0993 0.0600
-2.9446 5.0394 -0.0600
-2.8185 -1.6666 4.6569
O Li V Cr
8 3 4 1
Direct
0.9895 0.7410 0.2409
0.5001 0.7485 0.7591
0.5095 0.7470 0.2566
0.4905 0.2530 0.7434
0.0105 0.2590 0.7591
0.0002 0.2506 0.2508
0.9998 0.7494 0.7492
0.4999 0.2515 0.2409
0.0000 0.5000 0.0000
0.5000 0.0000 0.0000
0.5000 0.0000 0.5000
0.5000 0.5000 0.5000
0.0000 0.0000 0.5000
0.0000 0.5000 0.5000
0.0000 0.0000 0.0000
0.5000 0.5000 0.0000
```

Properties
ρ, g/cm3: 4.935
Energy, eV for the cell shown: -185.3
Size of the total moment, μB/f.u.: 3.058
Space group: C2/m
Energy relative to the elements, uncorrected, eV per formula unit: -39.9

# 11
First-principles (SCAN) data for a crystal of Mg2TlAg relaxed with PBEsol, as listed in Alexandria.

```
Mg2TlAg
1.0
-2.1947 -0.5378 -2.5256
1.7660 -2.7306 -0.9532
-3.9673 -4.0720 4.3145
Mg Ag Tl
2 1 1
Direct
0.0000 0.0000 0.2799
0.0000 0.0000 0.7201
0.5000 0.5000 0.5000
0.5000 0.5000 0.0000
```

Properties
ρ, g/cm3: 7.311
Energy, eV for the cell shown: -114.4
Size of the total moment, μB/f.u.: 0.000
Space group: P4/mmm
Energy of formation from the pure elements, eV per atom: -0.182

# 12
First-principles (SCAN) data for a crystal of SiB2WN relaxed with PBEsol, as listed in Alexandria.

```
SiB2WN
1.0
3.8633 0.0000 0.0000
0.0000 4.2451 0.0000
0.0000 0.0000 4.2451
W Si B N
1 1 2 1
Direct
0.0000 0.0000 0.0000
0.5000 0.5000 0.5000
0.0000 0.0000 0.5000
0.0000 0.5000 0.0000
0.5000 0.0000 0.0000
```

Properties
ρ, g/cm3: 5.905
Energy, eV for the cell shown: -96.7
Size of the total moment, μB/f.u.: 0.000
Space group: P4/mmm
Energy relative to the elements, uncorrected, eV per formula unit: 7.1